# 1
A plane-wave DFT calculation with GGA-PBE was carried out for PmGdNi after structural relaxation.

abc: 6.822 6.822 6.822
angles: 90.00 90.00 90.00
Atoms (fractional coordinates):
Pm  0.000  0.000  0.000
Pm  0.000  0.500  0.500
Pm  0.500  0.000  0.500
Pm  0.500  0.500  0.000
Gd  0.000  0.000  0.500
Gd  0.000  0.500  0.000
Gd  0.500  0.000  0.000
Gd  0.500  0.500  0.500
Ni  0.250  0.250  0.750
Ni  0.250  0.750  0.250
Ni  0.750  0.250  0.250
Ni  0.750  0.750  0.750

DFT formation energy ... -9 kJ per mole of atoms
E_tot ... -5.081 eV per atom
Space-group type ... No. 216
Relative energy among the computed polymorphs ... 0.0 meV per atom

---

# 2
A plane-wave DFT calculation with GGA-PBE was carried out for Gd3Zn22 after structural relaxation.

abc: 12.215 12.215 12.215
angles: 137.80 137.80 61.21
Atoms (fractional coordinates):
Gd  0.125  0.875  0.250
Gd  0.254  0.504  0.750
Gd  0.496  0.746  0.750
Gd  0.504  0.254  0.250
Gd  0.746  0.496  0.250
Gd  0.875  0.125  0.750
Zn  0.000  0.000  0.000
Zn  0.000  0.000  0.500
Zn  0.000  0.500  0.000
Zn  0.042  0.320  0.240
Zn  0.042  0.802  0.722
Zn  0.118  0.220  0.602
Zn  0.118  0.516  0.898
Zn  0.142  0.738  0.404
Zn  0.154  0.624  0.530
Zn  0.165  0.262  0.904
Zn  0.198  0.420  0.240
Zn  0.198  0.958  0.778
Zn  0.220  0.118  0.102
Zn  0.262  0.165  0.404
Zn  0.262  0.858  0.096
Zn  0.320  0.042  0.740
Zn  0.320  0.580  0.278
Zn  0.376  0.406  0.530
Zn  0.376  0.846  0.970
Zn  0.406  0.376  0.030
Zn  0.420  0.198  0.740
Zn  0.420  0.680  0.222
Zn  0.484  0.882  0.602
Zn  0.500  0.000  0.500
Zn  0.516  0.118  0.398
Zn  0.580  0.320  0.778
Zn  0.580  0.802  0.260
Zn  0.594  0.624  0.970
Zn  0.624  0.154  0.030
Zn  0.624  0.594  0.470
Zn  0.680  0.420  0.722
Zn  0.680  0.958  0.260
Zn  0.738  0.142  0.904
Zn  0.738  0.835  0.596
Zn  0.780  0.882  0.898
Zn  0.802  0.042  0.222
Zn  0.802  0.580  0.760
Zn  0.835  0.738  0.096
Zn  0.846  0.376  0.470
Zn  0.858  0.262  0.596
Zn  0.882  0.484  0.102
Zn  0.882  0.780  0.398
Zn  0.958  0.198  0.278
Zn  0.958  0.680  0.760

DFT formation energy ... -26 kJ per mole of atoms
E_tot ... -1.936 eV per atom
Space-group type ... No. 141

---

# 3
A plane-wave DFT calculation with GGA-PBE was carried out for SrMgReTc after structural relaxation.

abc: 6.710 6.710 6.710
angles: 90.00 90.00 90.00
Atoms (fractional coordinates):
Sr  0.000  0.000  0.000
Sr  0.000  0.500  0.500
Sr  0.500  0.000  0.500
Sr  0.500  0.500  0.000
Mg  0.250  0.250  0.250
Mg  0.250  0.750  0.750
Mg  0.750  0.250  0.750
Mg  0.750  0.750  0.250
Re  0.000  0.000  0.500
Re  0.000  0.500  0.000
Re  0.500  0.000  0.000
Re  0.500  0.500  0.500
Tc  0.250  0.250  0.750
Tc  0.250  0.750  0.250
Tc  0.750  0.250  0.250
Tc  0.750  0.750  0.750

E_tot ... -5.711 eV per atom
Space-group type ... No. 216
Relative energy among the computed polymorphs ... 0.0 meV per atom

---

# 4
A plane-wave DFT calculation with GGA-PBE was carried out for HfNiHgBi after structural relaxation.

abc: 6.950 6.950 6.950
angles: 90.00 90.00 90.00
Atoms (fractional coordinates):
Hf  0.000  0.000  0.000
Hf  0.000  0.500  0.500
Hf  0.500  0.000  0.500
Hf  0.500  0.500  0.000
Ni  0.250  0.250  0.750
Ni  0.250  0.750  0.250
Ni  0.750  0.250  0.250
Ni  0.750  0.750  0.750
Hg  0.250  0.250  0.250
Hg  0.250  0.750  0.750
Hg  0.750  0.250  0.750
Hg  0.750  0.750  0.250
Bi  0.000  0.000  0.500
Bi  0.000  0.500  0.000
Bi  0.500  0.000  0.000
Bi  0.500  0.500  0.500

E_tot ... -4.721 eV per atom
Space-group type ... No. 216

---

Number 1: total magnetization 0.004 μB/f.u.. Number 2: total magnetization 0.022 μB/f.u.. Number 3: total magnetization 0.004 μB/f.u.. Number 4: total magnetization 0.002 μB/f.u..